1.
MnNiW2: relaxed, GGA-PBE.

a b c (Å): 5.4017 7.3958 2.7223
angles (deg): 90.00 90.00 90.00
Closest atoms and distances in Å follow each position.
Space group Cmmm (No. 65)
Symmetry-distinct sites (fractional):
1 Mn 0.0000 0.0000 0.0000 (multiplicity 2)  8 W 2.66, 2 Ni 2.70, 2 Mn 2.72
2 Ni 0.0000 0.5000 0.0000 (multiplicity 2)  8 W 2.66, 2 Mn 2.70, 2 Ni 2.72
3 W 0.2500 0.2500 0.5000 (multiplicity 4)  4 Mn 2.66, 4 Ni 2.66, 4 W 2.70-2.72

spin magnetization = 0.190 μB/atom
DFT formation energy = 122 meV/atom
offset from the most stable computed form = 10 kJ/mol of formula units
raw total energy = -10.092 eV per atom
calculated density = 14.698 Mg/m³

2.
Mn2NiW: relaxed, GGA-PBE.

a b c (Å): 3.0462 3.0462 5.5579
angles (deg): 90.00 90.00 90.00
Closest atoms and distances in Å follow each position.
Space group P4/mmm (No. 123)
Symmetry-distinct sites (fractional):
1 Mn 0.0000 0.0000 0.2432 (multiplicity 2)  4 Ni 2.54, 4 W 2.58, 1 Mn 2.70
2 Ni 0.5000 0.5000 0.0000 (multiplicity 1)  8 Mn 2.54, 2 W 2.78
3 W 0.5000 0.5000 0.5000 (multiplicity 1)  8 Mn 2.58, 2 Ni 2.78

spin magnetization = 1.092 μB/atom
DFT formation energy = 80 meV/atom
offset from the most stable computed form = 19 kJ/mol of formula units
raw total energy = -9.189 eV per atom
calculated density = 11.346 Mg/m³

3.
MnNi2W: relaxed, GGA-PBE.

a b c (Å): 2.6839 2.6839 25.2075
angles (deg): 90.00 90.00 120.00
Closest atoms and distances in Å follow each position.
Space group R-3m (No. 166, hexagonal axes)
Symmetry-distinct sites (fractional):
1 Mn 0.0000 0.0000 0.0000 (multiplicity 3)  6 Ni 2.54, 6 Mn 2.68
2 Ni 0.0000 0.0000 0.2533 (multiplicity 6)  3 Mn 2.54, 3 W 2.68, 6 Ni 2.68
3 W 0.0000 0.0000 0.5000 (multiplicity 3)  6 Ni 2.68, 6 W 2.68

spin magnetization = 0.991 μB/atom
DFT formation energy = 190 meV/atom
offset from the most stable computed form = 88 kJ/mol of formula units
raw total energy = -8.231 eV per atom
calculated density = 11.283 Mg/m³

4.
MnNiW2: relaxed, GGA-PBE.

a b c (Å): 3.8212 3.8212 3.7014
angles (deg): 90.00 90.00 90.00
Closest atoms and distances in Å follow each position.
Space group P4/mmm (No. 123)
Symmetry-distinct sites (fractional):
1 Mn 0.0000 0.0000 0.0000 (multiplicity 1)  8 W 2.66, 4 Ni 2.70
2 Ni 0.5000 0.5000 0.0000 (multiplicity 1)  8 W 2.66, 4 Mn 2.70
3 W 0.0000 0.5000 0.5000 (multiplicity 2)  4 Mn 2.66, 4 Ni 2.66, 4 W 2.70

spin magnetization = 0.097 μB/atom
DFT formation energy = 96 meV/atom
offset from the most stable computed form = 0 kJ/mol of formula units
raw total energy = -10.119 eV per atom
calculated density = 14.788 Mg/m³

5.
MnNiW2: relaxed, GGA-PBE.

a b c (Å): 3.2845 4.2016 8.1121
angles (deg): 90.00 90.00 90.00
Closest atoms and distances in Å follow each position.
Space group Cmm2 (No. 35)
Symmetry-distinct sites (fractional):
1 Mn 0.0000 0.0000 0.0000 (multiplicity 2)  2 Ni 2.46, 2 W 2.62, 4 Mn 2.67
2 Ni 0.0000 0.5000 0.7747 (multiplicity 2)  2 Mn 2.46, 2 W 2.55, 4 Ni 2.67
3 W 0.0000 0.0000 0.5339 (multiplicity 2)  2 Ni 2.55, 6 W 2.67-2.82
4 W 0.0000 0.5000 0.2519 (multiplicity 2)  4 Mn 2.62-2.93, 6 W 2.67-2.82

spin magnetization = 0.591 μB/atom
DFT formation energy = 122 meV/atom
offset from the most stable computed form = 10 kJ/mol of formula units
raw total energy = -10.092 eV per atom
calculated density = 14.279 Mg/m³

6.
MnNi2W: relaxed, GGA-PBE.

a b c (Å): 8.5751 2.6600 4.5183
angles (deg): 90.00 101.17 90.00
Closest atoms and distances in Å follow each position.
Space group Cm (No. 8)
Symmetry-distinct sites (fractional):
1 Mn 0.0000 0.0000 0.0000 (multiplicity 2)  7 Ni 2.53-2.68, 2 Mn 2.66, 3 W 2.66
2 Ni 0.0079 0.5000 0.5184 (multiplicity 2)  3 W 2.55-2.59, 4 Mn 2.56-2.68, 5 Ni 2.57-2.66
3 Ni 0.2538 0.0000 0.7756 (multiplicity 2)  3 Mn 2.53-2.57, 5 Ni 2.57-2.66, 4 W 2.59-2.65
4 W 0.2547 0.5000 0.2829 (multiplicity 2)  7 Ni 2.55-2.65, 2 W 2.66, 3 Mn 2.66

spin magnetization = 0.725 μB/atom
DFT formation energy = 63 meV/atom
offset from the most stable computed form = 38 kJ/mol of formula units
raw total energy = -8.358 eV per atom
calculated density = 11.698 Mg/m³

7.
MnNi2W: relaxed, GGA-PBE.

a b c (Å): 2.6379 2.6379 7.2584
angles (deg): 90.00 90.00 90.00
Closest atoms and distances in Å follow each position.
Space group P4mm (No. 99)
Symmetry-distinct sites (fractional):
1 Mn 0.0000 0.0000 0.0000 (multiplicity 1)  4 Ni 2.52, 4 Mn 2.64, 4 W 2.75
2 Ni 0.0000 0.0000 0.4661 (multiplicity 1)  8 Ni 2.52-2.64, 4 W 2.63
3 Ni 0.5000 0.5000 0.2332 (multiplicity 1)  8 Ni 2.52-2.64, 4 Mn 2.52
4 W 0.5000 0.5000 0.7210 (multiplicity 1)  4 Ni 2.63, 4 W 2.64, 4 Mn 2.75

spin magnetization = 0.711 μB/atom
DFT formation energy = 88 meV/atom
offset from the most stable computed form = 48 kJ/mol of formula units
raw total energy = -8.333 eV per atom
calculated density = 11.709 Mg/m³

8.
MnNiW2: relaxed, GGA-PBE.

a b c (Å): 2.6758 3.8087 5.3946
angles (deg): 90.00 95.04 90.00
Closest atoms and distances in Å follow each position.
Space group P2/m (No. 10)
Symmetry-distinct sites (fractional):
1 Mn 0.0000 0.0000 0.0000 (multiplicity 1)  8 W 2.58-2.78, 2 Mn 2.68, 2 Ni 2.70
2 Ni 0.0000 0.0000 0.5000 (multiplicity 1)  2 Ni 2.68, 8 W 2.68-2.71, 2 Mn 2.70
3 W 0.4668 0.5000 0.2459 (multiplicity 2)  4 Mn 2.58-2.78, 4 W 2.67-2.73, 4 Ni 2.68-2.71

spin magnetization = 0.272 μB/atom
DFT formation energy = 141 meV/atom
offset from the most stable computed form = 18 kJ/mol of formula units
raw total energy = -10.073 eV per atom
calculated density = 14.594 Mg/m³